Entry 1:
Here is a relaxed PmPuTlGe crystal from Alexandria. Energies are from PBE.

```
PmPuTlGe
1.0
0.0000 3.7471 3.7471
3.7471 0.0000 3.7471
3.7471 3.7471 0.0000
Pm Pu Tl Ge
1 1 1 1
direct
0.0000 0.0000 0.0000 Pm
0.5000 0.5000 0.5000 Pu
0.2500 0.2500 0.2500 Tl
0.7500 0.7500 0.7500 Ge
```

## Properties
- formation enthalpy at 0 K (kcal/mol of atoms) = -6.4
- energy (eV per cell) = -27.2
- symmetry = F-43m

Entry 2:
Here is a relaxed PmPuUGe crystal from Alexandria. Energies are from PBE.

```
PmPuUGe
1.0
0.0000 3.6105 3.6105
3.6105 0.0000 3.6105
3.6105 3.6105 0.0000
Pm Pu U Ge
1 1 1 1
direct
0.0000 0.0000 0.0000 Pm
0.5000 0.5000 0.5000 Pu
0.2500 0.2500 0.2500 U
0.7500 0.7500 0.7500 Ge
```

## Properties
- formation enthalpy at 0 K (kcal/mol of atoms) = 3.0
- energy (eV per cell) = -34.5
- symmetry = F-43m

Entry 3:
Here is a relaxed PmPu2Zn2Ge2 crystal from Alexandria. Energies are from PBE.

```
PmPu2Zn2Ge2
1.0
2.0439 1.1800 9.2026
-2.0439 1.1800 9.2026
0.0000 -2.3600 9.2026
Pm Pu Zn Ge
1 2 2 2
direct
0.0000 0.0000 0.0000 Pm
0.1525 0.1525 0.1525 Pu
0.8475 0.8475 0.8475 Pu
0.4160 0.4160 0.4160 Zn
0.5840 0.5840 0.5840 Zn
0.2615 0.2615 0.2615 Ge
0.7385 0.7385 0.7385 Ge
```

## Properties
- formation enthalpy at 0 K (kcal/mol of atoms) = -5.3
- energy (eV per cell) = -46.8
- symmetry = R-3m

Entry 4:
Here is a relaxed PmPuZnGe crystal from Alexandria. Energies are from PBE.

```
PmPuZnGe
1.0
0.0000 3.6145 3.6145
3.6145 0.0000 3.6145
3.6145 3.6145 0.0000
Pm Pu Zn Ge
1 1 1 1
direct
0.0000 0.0000 0.0000 Pm
0.5000 0.5000 0.5000 Pu
0.7500 0.7500 0.7500 Zn
0.2500 0.2500 0.2500 Ge
```

## Properties
- formation enthalpy at 0 K (kcal/mol of atoms) = -8.3
- energy (eV per cell) = -26.4
- symmetry = F-43m

Entry 5:
Here is a relaxed PmPuZn2Ge2 crystal from Alexandria. Energies are from PBE.

```
PmPuZn2Ge2
1.0
4.2558 0.0000 0.0000
-2.1279 3.6856 0.0000
0.0000 0.0000 8.2017
Pm Pu Zn Ge
1 1 2 2
direct
0.0000 0.0000 0.0000 Pm
0.0000 0.0000 0.5000 Pu
0.3333 0.6667 0.2501 Zn
0.6667 0.3333 0.7499 Zn
0.3333 0.6667 0.7443 Ge
0.6667 0.3333 0.2557 Ge
```

## Properties
- formation enthalpy at 0 K (kcal/mol of atoms) = -11.2
- energy (eV per cell) = -33.8
- symmetry = P-3m1

Entry 6:
Here is a relaxed RbPm4Ge4 crystal from Alexandria. Energies are from PBE.

```
RbPm4Ge4
1.0
9.9631 0.0000 0.0000
0.0000 9.9631 0.0000
0.0000 0.0000 5.9132
Rb Pm Ge
2 8 8
direct
0.2500 0.2500 0.2500 Rb
0.7500 0.7500 0.7500 Rb
0.1166 0.6259 0.1355 Pm
0.1259 0.8834 0.6355 Pm
0.3741 0.6166 0.6355 Pm
0.3834 0.8741 0.1355 Pm
0.6166 0.1259 0.8645 Pm
0.6259 0.3834 0.3645 Pm
0.8741 0.1166 0.3645 Pm
0.8834 0.3741 0.8645 Pm
0.0714 0.5711 0.6419 Ge
0.0711 0.9286 0.1419 Ge
0.4289 0.5714 0.1419 Ge
0.4286 0.9289 0.6419 Ge
0.5714 0.0711 0.3581 Ge
0.5711 0.4286 0.8581 Ge
0.9289 0.0714 0.8581 Ge
0.9286 0.4289 0.3581 Ge
```

## Properties
- formation enthalpy at 0 K (kcal/mol of atoms) = -11.6
- energy (eV per cell) = -85.9
- symmetry = P4_2/n

Number 1: M_tot 6.09 Bohr magnetons per cell. Number 2: M_tot 8.10 Bohr magnetons per cell. Number 3: M_tot 0.00 Bohr magnetons per cell. Number 4: M_tot 6.28 Bohr magnetons per cell. Number 5: M_tot 6.06 Bohr magnetons per cell. Number 6: M_tot 0.00 Bohr magnetons per cell.